Ca2FeGeO6 | Alexandria via LeMat-Bulk | PBE with a Hubbard U | relaxed; crystal system = triclinic; magnetization = 3.95 μB/f.u.; final energy = -6.45 eV per atom
1.0
5.357 0.000 0.000
2.583 4.697 0.000
2.589 1.528 4.443
Ca Fe Ge O
2 1 1 6
Cartesian
2.626 1.555 1.104
7.902 4.670 3.338
0.000 0.000 0.000
5.264 3.113 2.221
3.754 3.989 1.444
5.215 4.422 3.615
4.154 2.010 3.324
6.374 4.215 1.119
5.313 1.804 0.827
6.774 2.236 2.998